A relaxed structure of NaAl2Tl, computed with GGA-PBE.

Lattice parameters (Å, degrees): 11.478 11.478 11.478 159.10 159.10 29.73
Atoms (fractional coordinates):
Na (0.000, 0.000, 0.000)
Na (0.750, 0.250, 0.500)
Al (0.124, 0.625, 0.999)
Al (0.375, 0.374, 0.499)
Al (0.626, 0.125, 0.001)
Al (0.875, 0.876, 0.501)
Tl (0.250, 0.750, 0.500)
Tl (0.500, 0.500, 0.000)

## Properties
As for the energy: -2.4937 eV/atom. The value obtained for the formation energy is 0.2989 eV per atom. The space-group type is I-42d (122). The mass density comes out at 4.9 g/cm³.

***

A relaxed structure of Na16AlTl12, computed with GGA-PBE.

Lattice parameters (Å, degrees): 10.456 10.456 10.067 109.13 109.13 110.55
Atoms (fractional coordinates):
Na (0.000, 0.000, 0.000)
Na (0.263, 0.573, 0.589)
Na (0.295, 0.709, 0.299)
Na (0.337, 0.337, 0.343)
Na (0.399, 0.682, 0.991)
Na (0.408, 0.986, 0.695)
Na (0.573, 0.263, 0.589)
Na (0.575, 0.575, 0.265)
Na (0.668, 0.985, 0.004)
Na (0.677, 0.990, 0.410)
Na (0.682, 0.399, 0.991)
Na (0.709, 0.295, 0.299)
Na (0.985, 0.668, 0.004)
Na (0.986, 0.408, 0.695)
Na (0.990, 0.677, 0.410)
Na (0.994, 0.994, 0.649)
Al (0.301, 0.301, 0.720)
Tl (0.002, 0.189, 0.400)
Tl (0.170, 0.798, 0.807)
Tl (0.185, 0.372, 0.983)
Tl (0.189, 0.002, 0.400)
Tl (0.370, 0.998, 0.190)
Tl (0.372, 0.185, 0.983)
Tl (0.588, 0.588, 0.806)
Tl (0.602, 0.789, 0.614)
Tl (0.789, 0.602, 0.614)
Tl (0.798, 0.170, 0.807)
Tl (0.811, 0.811, 0.199)
Tl (0.998, 0.370, 0.190)

## Properties
As for the energy: -1.9148 eV/atom. The value obtained for the formation energy is -0.0788 eV per atom. The space-group type is Cm (8). The mass density comes out at 5.6 g/cm³.

***

A relaxed structure of NaAlTl, computed with GGA-PBE.

Lattice parameters (Å, degrees): 8.950 8.950 8.950 159.38 142.42 43.24
Atoms (fractional coordinates):
Na (0.158, 0.158, 0.000)
Na (0.842, 0.842, 0.000)
Al (0.237, 0.500, 0.737)
Al (0.763, 0.500, 0.263)
Tl (0.351, 0.351, 0.000)
Tl (0.649, 0.649, 0.000)

## Properties
As for the energy: -2.3857 eV/atom. The value obtained for the formation energy is 0.0903 eV per atom. The space-group type is Immm (71). The mass density comes out at 5.5 g/cm³.

***

Question: Look up the mass density of the first one.
Answer: 4.9 g/cm³